[1]
K4Ac3SnTe8: optimized geometry, PBE.

Values from the calculation:
Energy relative to the elements, uncorrected in eV/atom: -1.2349

The structure in POSCAR format:
```
K4Ac3SnTe8
1.0
4.7770 2.7580 8.2813
-4.7770 2.7580 8.2813
0.0000 -5.5160 8.2813
K Ac Sn Te
4 3 1 8
Direct
0.0000 0.0000 0.0000
0.0000 0.5000 0.5000
0.5000 0.0000 0.5000
0.5000 0.5000 0.0000
0.0000 0.0000 0.5000
0.0000 0.5000 0.0000
0.5000 0.0000 0.0000
0.5000 0.5000 0.5000
0.2418 0.2418 0.2418
0.2543 0.7306 0.7306
0.2694 0.2694 0.7457
0.2694 0.7457 0.2694
0.7306 0.2543 0.7306
0.7306 0.7306 0.2543
0.7457 0.2694 0.2694
0.7582 0.7582 0.7582
```


[2]
KAcSnTe3: optimized geometry, PBE.

Values from the calculation:
Energy relative to the elements, uncorrected in eV/atom: -1.0418

The structure in POSCAR format:
```
KAcSnTe3
1.0
9.3761 0.0000 0.0000
0.0000 4.6291 0.0000
-3.1635 0.0000 11.8606
K Ac Sn Te
2 2 2 6
Direct
0.2438 0.2500 0.2811
0.7562 0.7500 0.7189
0.3449 0.7500 0.8432
0.6551 0.2500 0.1568
0.1266 0.2500 0.5542
0.8734 0.7500 0.4458
0.0765 0.2500 0.7769
0.3404 0.7500 0.5681
0.3954 0.7500 0.1201
0.6046 0.2500 0.8799
0.6596 0.2500 0.4319
0.9235 0.7500 0.2231
```


Q: Number 1 is which compound?
A: K4Ac3SnTe8